Entry 1:
! SrTlZnIn PBE-GGA optimized geometry; values from VASP
! Energy of formation from the pure elements, meV/atom: -199
&SYSTEM
  ibrav = 0, nat = 4, ntyp = 4
/
ATOMIC_SPECIES
Sr 87.62 Sr.upf
Tl 204.38 Tl.upf
Zn 65.41 Zn.upf
In 114.82 In.upf
ATOMIC_POSITIONS crystal
Sr 0.750 0.750 0.750
Tl 0.000 0.000 0.000
Zn 0.500 0.500 0.500
In 0.250 0.250 0.250
CELL_PARAMETERS angstrom
5.357 0.000 0.000
2.678 4.639 0.000
2.678 1.546 4.374

Entry 2:
! Sr2TlZnIn6 PBE-GGA optimized geometry; values from VASP
! Energy of formation from the pure elements, meV/atom: -109
&SYSTEM
  ibrav = 0, nat = 20, ntyp = 4
/
ATOMIC_SPECIES
Sr 87.62 Sr.upf
Tl 204.38 Tl.upf
Zn 65.41 Zn.upf
In 114.82 In.upf
ATOMIC_POSITIONS crystal
Sr 0.894 0.894 0.317
Sr 0.106 0.106 0.683
Sr 0.722 0.722 0.834
Sr 0.278 0.278 0.166
Tl 0.575 0.575 0.276
Tl 0.425 0.425 0.724
Zn 0.000 0.000 0.000
Zn 0.500 0.500 0.500
In 0.924 0.331 0.414
In 0.331 0.924 0.414
In 0.331 0.331 0.414
In 0.076 0.669 0.586
In 0.669 0.076 0.586
In 0.669 0.669 0.586
In 0.649 0.220 0.911
In 0.220 0.649 0.911
In 0.220 0.220 0.911
In 0.351 0.780 0.089
In 0.780 0.351 0.089
In 0.780 0.780 0.089
CELL_PARAMETERS angstrom
-1.211 1.817 -6.922
-6.338 -1.648 -3.130
-7.630 12.048 0.691

Entry 3:
! Sr2ZrTlIn PBE-GGA optimized geometry; values from VASP
! Energy of formation from the pure elements, meV/atom: 628
&SYSTEM
  ibrav = 0, nat = 5, ntyp = 4
/
ATOMIC_SPECIES
Sr 87.62 Sr.upf
Tl 204.38 Tl.upf
Zr 91.22 Zr.upf
In 114.82 In.upf
ATOMIC_POSITIONS crystal
Sr 0.000 0.000 0.500
Sr 0.500 0.000 0.000
Tl 0.000 0.500 0.000
Zr 0.000 0.000 0.000
In 0.500 0.500 0.500
CELL_PARAMETERS angstrom
-6.012 -1.231 -0.671
1.048 -5.422 0.559
-0.779 0.479 6.105

Entry 4:
! SrZrTl2In PBE-GGA optimized geometry; values from VASP
! Energy of formation from the pure elements, meV/atom: 1170
&SYSTEM
  ibrav = 0, nat = 5, ntyp = 4
/
ATOMIC_SPECIES
Sr 87.62 Sr.upf
Tl 204.38 Tl.upf
Zr 91.22 Zr.upf
In 114.82 In.upf
ATOMIC_POSITIONS crystal
Sr 0.000 0.000 0.000
Tl 0.000 0.000 0.500
Tl 0.500 0.000 0.000
Zr 0.500 0.500 0.500
In 0.000 0.500 0.000
CELL_PARAMETERS angstrom
-4.014 3.349 2.431
-3.449 -0.808 -4.584
-2.311 -4.623 2.554

Entry 5:
! SrTm3In4 PBE-GGA optimized geometry; values from VASP
! Energy of formation from the pure elements, meV/atom: -386
&SYSTEM
  ibrav = 0, nat = 16, ntyp = 3
/
ATOMIC_SPECIES
Sr 87.62 Sr.upf
Tm 168.93 Tm.upf
In 114.82 In.upf
ATOMIC_POSITIONS crystal
Sr 0.000 0.500 0.000
Sr 0.000 0.500 0.500
Tm 0.000 0.000 0.000
Tm 0.000 0.000 0.500
Tm 0.595 0.000 0.750
Tm 0.405 0.000 0.250
Tm 0.564 0.500 0.750
Tm 0.436 0.500 0.250
In 0.500 0.766 0.000
In 0.500 0.766 0.500
In 0.500 0.234 0.000
In 0.500 0.234 0.500
In 0.095 0.767 0.750
In 0.905 0.767 0.250
In 0.905 0.233 0.250
In 0.095 0.233 0.750
CELL_PARAMETERS angstrom
-3.582 -3.316 2.659
-3.113 -1.715 -6.334
6.872 -8.324 -1.124

Entry 6:
! SrTmIn2 PBE-GGA optimized geometry; values from VASP
! Energy of formation from the pure elements, meV/atom: -427
&SYSTEM
  ibrav = 0, nat = 4, ntyp = 3
/
ATOMIC_SPECIES
Sr 87.62 Sr.upf
Tm 168.93 Tm.upf
In 114.82 In.upf
ATOMIC_POSITIONS crystal
Sr 0.500 0.500 0.500
Tm 0.500 0.500 0.000
In 0.000 0.000 0.780
In 0.000 0.000 0.220
CELL_PARAMETERS angstrom
3.867 0.000 0.000
0.000 3.867 0.000
0.000 0.000 7.867

Entry 7:
! SrTm5In3 PBE-GGA optimized geometry; values from VASP
! Energy of formation from the pure elements, meV/atom: -296
&SYSTEM
  ibrav = 0, nat = 18, ntyp = 3
/
ATOMIC_SPECIES
Sr 87.62 Sr.upf
Tm 168.93 Tm.upf
In 114.82 In.upf
ATOMIC_POSITIONS crystal
Sr 0.000 0.000 0.000
Sr 0.500 0.000 0.000
Tm 0.000 0.667 0.333
Tm 0.500 0.333 0.667
Tm 0.000 0.333 0.667
Tm 0.500 0.667 0.333
Tm 0.750 0.661 0.661
Tm 0.750 0.000 0.339
Tm 0.750 0.339 0.000
Tm 0.250 0.339 0.339
Tm 0.250 0.000 0.661
Tm 0.250 0.661 0.000
In 0.750 0.335 0.335
In 0.750 0.000 0.665
In 0.750 0.665 0.000
In 0.250 0.665 0.665
In 0.250 0.000 0.335
In 0.250 0.335 0.000
CELL_PARAMETERS angstrom
6.798 0.000 0.000
0.000 8.070 -4.659
0.000 0.000 9.319

Entry 8:
! SrTm5In6 PBE-GGA optimized geometry; values from VASP
! Energy of formation from the pure elements, meV/atom: -398
&SYSTEM
  ibrav = 0, nat = 12, ntyp = 3
/
ATOMIC_SPECIES
Sr 87.62 Sr.upf
Tm 168.93 Tm.upf
In 114.82 In.upf
ATOMIC_POSITIONS crystal
Sr 0.000 0.000 0.000
Tm 0.338 0.838 0.677
Tm 0.669 0.669 0.338
Tm 0.000 0.500 0.000
Tm 0.331 0.331 0.662
Tm 0.662 0.162 0.323
In 0.171 0.430 0.343
In 0.171 0.912 0.343
In 0.500 0.268 0.000
In 0.500 0.732 0.000
In 0.829 0.088 0.657
In 0.829 0.570 0.657
CELL_PARAMETERS angstrom
5.131 0.004 -1.579
-0.816 6.907 -2.632
0.037 -0.476 9.245

Entry 9:
! Sr2TmIn3 PBE-GGA optimized geometry; values from VASP
! Energy of formation from the pure elements, meV/atom: -410
&SYSTEM
  ibrav = 0, nat = 12, ntyp = 3
/
ATOMIC_SPECIES
Sr 87.62 Sr.upf
Tm 168.93 Tm.upf
In 114.82 In.upf
ATOMIC_POSITIONS crystal
Sr 0.000 0.000 0.000
Sr 0.000 0.000 0.500
Sr 0.337 0.326 0.500
Sr 0.663 0.674 0.500
Tm 0.335 0.329 0.000
Tm 0.665 0.671 0.000
In 0.826 0.348 0.775
In 0.500 0.000 0.228
In 0.174 0.652 0.225
In 0.826 0.348 0.225
In 0.174 0.652 0.775
In 0.500 0.000 0.772
CELL_PARAMETERS angstrom
5.593 0.000 0.022
2.796 8.366 0.011
-0.031 0.000 7.892

Entry 10:
! Sr3TmIn12 PBE-GGA optimized geometry; values from VASP
! Energy of formation from the pure elements, meV/atom: -311
&SYSTEM
  ibrav = 0, nat = 16, ntyp = 3
/
ATOMIC_SPECIES
Sr 87.62 Sr.upf
Tm 168.93 Tm.upf
In 114.82 In.upf
ATOMIC_POSITIONS crystal
Sr 0.000 0.000 0.243
Sr 0.000 0.000 0.500
Sr 0.000 0.000 0.757
Tm 0.000 0.000 0.000
In 0.500 0.500 0.000
In 0.500 0.500 0.248
In 0.500 0.500 0.500
In 0.500 0.500 0.752
In 0.500 0.000 0.117
In 0.500 0.000 0.372
In 0.500 0.000 0.628
In 0.500 0.000 0.883
In 0.000 0.500 0.117
In 0.000 0.500 0.372
In 0.000 0.500 0.628
In 0.000 0.500 0.883
CELL_PARAMETERS angstrom
4.818 0.000 0.000
0.000 4.818 0.000
0.000 0.000 19.045

Entry 11:
! SrTm2In3 PBE-GGA optimized geometry; values from VASP
! Energy of formation from the pure elements, meV/atom: -294
&SYSTEM
  ibrav = 0, nat = 12, ntyp = 3
/
ATOMIC_SPECIES
Sr 87.62 Sr.upf
Tm 168.93 Tm.upf
In 114.82 In.upf
ATOMIC_POSITIONS crystal
Sr 0.250 0.344 0.344
Sr 0.750 0.656 0.656
Tm 0.500 0.788 0.212
Tm 0.000 0.788 0.212
Tm 0.000 0.212 0.788
Tm 0.500 0.212 0.788
In 0.750 0.440 0.154
In 0.750 0.154 0.440
In 0.250 0.560 0.846
In 0.750 0.034 0.034
In 0.250 0.966 0.966
In 0.250 0.846 0.560
CELL_PARAMETERS angstrom
-2.568 3.416 -5.549
-5.694 -4.868 -0.361
-2.198 5.608 4.469

Entry 12:
! Sr3TmIn4 PBE-GGA optimized geometry; values from VASP
! Energy of formation from the pure elements, meV/atom: -418
&SYSTEM
  ibrav = 0, nat = 8, ntyp = 3
/
ATOMIC_SPECIES
Sr 87.62 Sr.upf
Tm 168.93 Tm.upf
In 114.82 In.upf
ATOMIC_POSITIONS crystal
Sr 0.500 0.500 0.240
Sr 0.500 0.500 0.500
Sr 0.500 0.500 0.760
Tm 0.500 0.500 0.000
In 0.000 0.000 0.895
In 0.000 0.000 0.105
In 0.000 0.000 0.371
In 0.000 0.000 0.629
CELL_PARAMETERS angstrom
3.940 0.000 0.000
0.000 3.940 0.000
0.000 0.000 16.224

Record order is preserved below.
Electronic total energy: -2.214; -2.452; -2.775; -2.370; -3.643; -3.335; -3.879; -3.770; -3.086; -2.960; -3.434; -2.977 eV per atom